DFT (PBE) results for a relaxed LiPrHgRh crystal.

Its total energy is -3.950 eV/atom. The formation energy is -0.3636 eV/atom. As for the size of the total moment: 0.0 μB/f.u.

The structure belongs to space group F-43m (No. 216); the cell edges are 6.887, 6.887 and 6.887 Å and the angles 90.00°, 90.00° and 90.00°. The asymmetric unit holds Li at (0.000, 0.000, 0.000), Pr at (0.250, 0.250, 0.750), Hg at (0.250, 0.250, 0.250) and Rh at (0.000, 0.000, 0.500).

=====

DFT (PBE) results for a relaxed LiPrHgSb crystal.

Its total energy is -3.360 eV/atom. As for the size of the total moment: 0.0 μB/f.u. The raw formation energy comes out at -581 meV per atom.

The structure belongs to space group F-43m (No. 216); the cell edges are 7.460, 7.460 and 7.460 Å and the angles 90.00°, 90.00° and 90.00°. The asymmetric unit holds Li at (0.000, 0.000, 0.000), Pr at (0.000, 0.000, 0.500), Hg at (0.250, 0.250, 0.250) and Sb at (0.250, 0.250, 0.750).